Crystalline TaInIr4 at its relaxed geometry, computed with GGA-PBE.

Values from the calculation:
- formation energy from the elements (eV per atom) = 0.00
- crystal system = cubic
- DOS at the Fermi energy (states/eV/f.u.) = 4.50
- ρ (g/cm³) = 17.63
- E_tot (eV/cell) = -200.175

abc: 7.3752 7.3752 7.3752
angles: 90.00 90.00 90.00
With the nearest neighbours (Å) after each atom.
Space group F-43m (No. 216)
Symmetry-distinct sites (fractional):
Ta (0.0000, 0.0000, 0.0000) [4 per cell]  12 Ir 3.06, 4 In 3.19
In (0.2500, 0.2500, 0.2500) [4 per cell]  12 Ir 3.06, 4 Ta 3.19
Ir (0.1246, 0.1246, 0.6246) [16 per cell]  6 Ir 2.60-2.62

---

Crystalline ZrZn2In at its relaxed geometry, computed with GGA-PBE.

Values from the calculation:
- formation energy from the elements (eV per atom) = -0.04
- crystal system = monoclinic
- DOS at the Fermi energy (states/eV/f.u.) = 1.91
- ρ (g/cm³) = 7.10
- E_tot (eV/cell) = -28.026

abc: 9.2769 3.1517 5.4702
angles: 90.00 100.09 90.00
With the nearest neighbours (Å) after each atom.
Space group C2/m (No. 12)
Symmetry-distinct sites (fractional):
Zr (0.0000, 0.0000, 0.0000) [2 per cell]  6 Zn 2.88-2.92, 2 Zr 3.15, 4 In 3.16
Zn (0.2487, 0.5000, 0.2436) [4 per cell]  3 Zr 2.88-2.92, 3 In 2.90-2.96, 6 Zn 3.10-3.21
In (0.0000, 0.5000, 0.5000) [2 per cell]  6 Zn 2.90-2.96, 2 In 3.15, 4 Zr 3.16

---

Crystalline Ir2RhCl at its relaxed geometry, computed with GGA-PBE.

Values from the calculation:
- distance to the lowest polymorph of the same formula (meV per atom) = 655
- crystal system = cubic
- raw formation energy (eV per atom) = 1.02
- DOS at the Fermi energy (states/eV/f.u.) = 5.35
- ρ (g/cm³) = 14.27
- E_tot (eV/cell) = -91.286

abc: 6.2435 6.2435 6.2435
angles: 90.00 90.00 90.00
With the nearest neighbours (Å) after each atom.
Space group Fm-3m (No. 225)
Symmetry-distinct sites (fractional):
Ir (0.2500, 0.2500, 0.2500) [8 per cell]  4 Cl 2.70, 4 Rh 2.70
Rh (0.0000, 0.0000, 0.0000) [4 per cell]  8 Ir 2.70
Cl (0.0000, 0.0000, 0.5000) [4 per cell]  8 Ir 2.70

---

Crystalline Tb10Sn3Bi3 at its relaxed geometry, computed with GGA-PBE.

Values from the calculation:
- formation energy from the elements (eV per atom) = -0.73
- crystal system = hexagonal
- DOS at the Fermi energy (states/eV/f.u.) = 11.45
- ρ (g/cm³) = 9.13
- E_tot (eV/cell) = -81.560

abc: 9.1161 9.1161 6.5009
angles: 90.00 90.00 120.00
With the nearest neighbours (Å) after each atom.
Space group P-62m (No. 189)
Symmetry-distinct sites (fractional):
Tb (0.0000, 0.2404, 0.0000) [3 per cell]  3 Bi 3.13-3.35
Tb (0.0000, 0.7590, 0.5000) [3 per cell]  3 Sn 3.12-3.35
Tb (0.3333, 0.6667, 0.2543) [4 per cell]  2 Tb 3.19-3.31, 3 Sn 3.23, 3 Bi 3.26
Sn (0.0000, 0.3914, 0.5000) [3 per cell]  7 Tb 3.12-3.35
Bi (0.0000, 0.6074, 0.0000) [3 per cell]  7 Tb 3.13-3.35

---

Crystalline LiTc2Br at its relaxed geometry, computed with GGA-PBE.

Values from the calculation:
- distance to the lowest polymorph of the same formula (meV per atom) = 905
- crystal system = cubic
- raw formation energy (eV per atom) = 0.94
- DOS at the Fermi energy (states/eV/f.u.) = 4.34
- ρ (g/cm³) = 8.38
- E_tot (eV/cell) = -82.223

abc: 6.0740 6.0740 6.0740
angles: 90.00 90.00 90.00
With the nearest neighbours (Å) after each atom.
Space group Fm-3m (No. 225)
Symmetry-distinct sites (fractional):
Li (0.0000, 0.0000, 0.0000) [4 per cell]  8 Tc 2.63
Tc (0.2500, 0.2500, 0.2500) [8 per cell]  4 Li 2.63, 4 Br 2.63
Br (0.0000, 0.0000, 0.5000) [4 per cell]  8 Tc 2.63

---

Crystalline Pa2Ru3 at its relaxed geometry, computed with GGA-PBE.

Values from the calculation:
- formation energy from the elements (eV per atom) = -0.40
- crystal system = monoclinic
- DOS at the Fermi energy (states/eV/f.u.) = 3.34
- ρ (g/cm³) = 12.77
- E_tot (eV/cell) = -97.608

abc: 9.1002 3.7292 5.9667
angles: 90.00 100.64 90.00
With the nearest neighbours (Å) after each atom.
Space group C2/m (No. 12)
Symmetry-distinct sites (fractional):
Pa (0.1358, 0.0000, 0.2743) [4 per cell]  6 Ru 2.66-2.81
Ru (0.0000, 0.5000, 0.5000) [2 per cell]  4 Pa 2.73, 4 Ru 2.96
Ru (0.1779, 0.0000, 0.8275) [4 per cell]  4 Pa 2.66-2.81, 4 Ru 2.90-2.96

---

Crystalline Ac6Zn2Ni at its relaxed geometry, computed with GGA-PBE.

Values from the calculation:
- formation energy from the elements (eV per atom) = -0.07
- crystal system = monoclinic
- DOS at the Fermi energy (states/eV/f.u.) = 10.49
- ρ (g/cm³) = 8.42
- E_tot (eV/cell) = -67.308

abc: 16.1352 3.9658 11.9406
angles: 90.00 126.78 90.00
With the nearest neighbours (Å) after each atom.
Space group C2/m (No. 12)
Symmetry-distinct sites (fractional):
Ac (0.0318, 0.0000, 0.1909) [4 per cell]  2 Zn 3.27
Ac (0.1616, 0.5000, 0.5345) [4 per cell]  2 Ni 3.10, 2 Zn 3.13-3.15
Ac (0.2200, 0.5000, 0.1136) [4 per cell]  2 Zn 3.31
Zn (0.0750, 0.5000, 0.7107) [4 per cell]  2 Ni 2.84, 2 Ac 3.13-3.15
Ni (0.0000, 0.0000, 0.5000) [2 per cell]  4 Zn 2.84, 4 Ac 3.10

---

Crystalline NiCl6 at its relaxed geometry, computed with GGA-PBE.

Values from the calculation:
- crystal system = orthorhombic
- raw formation energy (eV per atom) = -0.05
- DOS at the Fermi energy (states/eV/f.u.) = 7.88
- ρ (g/cm³) = 1.63
- E_tot (eV/cell) = -34.477

abc: 7.4010 10.1667 7.3284
angles: 90.00 90.00 90.00
With the nearest neighbours (Å) after each atom.
Space group Cmmm (No. 65)
Symmetry-distinct sites (fractional):
Ni (0.0000, 0.0000, 0.0000) [2 per cell]  6 Cl 2.19-2.29
Cl (0.0000, 0.0000, 0.2994) [4 per cell]  1 Ni 2.19
Cl (0.2462, 0.3705, 0.0000) [8 per cell]  1 Ni 2.29, 1 Cl 2.45

---

Crystalline HfTcI2N at its relaxed geometry, computed with GGA-PBE.

Values from the calculation:
- distance to the lowest polymorph of the same formula (meV per atom) = 26
- crystal system = tetragonal
- raw formation energy (eV per atom) = 0.64
- DOS at the Fermi energy (states/eV/f.u.) = 5.41
- ρ (g/cm³) = 7.93
- E_tot (eV/cell) = -28.555

abc: 5.5307 5.5307 3.7271
angles: 90.00 90.00 90.00
With the nearest neighbours (Å) after each atom.
Space group P4/mmm (No. 123)
Symmetry-distinct sites (fractional):
Hf (0.0000, 0.0000, 0.0000) [1 per cell]  8 I 3.33, 2 Hf 3.73
Tc (0.5000, 0.5000, 0.5000) [1 per cell]  2 N 1.86
I (0.0000, 0.5000, 0.5000) [2 per cell]  2 Tc 2.77
N (0.5000, 0.5000, 0.0000) [1 per cell]  2 Tc 1.86

---

Crystalline SbWSe2 at its relaxed geometry, computed with GGA-PBE.

Values from the calculation:
- crystal system = triclinic
- raw formation energy (eV per atom) = 0.05
- DOS at the Fermi energy (states/eV/f.u.) = 1.44
- ρ (g/cm³) = 8.82
- E_tot (eV/cell) = -47.678

abc: 5.0713 5.9906 6.4355
angles: 67.84 88.52 75.30
With the nearest neighbours (Å) after each atom.
Space group P1 (No. 1)
Symmetry-distinct sites (fractional):
Sb (0.0000, 0.0000, 0.0000) [1 per cell]  3 W 2.77-2.90, 3 Se 2.97-3.09
Sb (0.0313, 0.6862, 0.6116) [1 per cell]  1 Se 2.73, 2 W 2.85-2.89
W (0.2549, 0.0876, 0.6014) [1 per cell]  5 Se 2.60-2.85, 1 W 2.77, 2 Sb 2.77-2.89
W (0.4227, 0.2565, 0.9074) [1 per cell]  4 Se 2.58-2.64, 1 W 2.77, 2 Sb 2.85-2.87
Se (0.1240, 0.4240, 0.1869) [1 per cell]  2 W 2.64
Se (0.4868, 0.8997, 0.3007) [1 per cell]  2 W 2.59-2.69
Se (0.5861, 0.6574, 0.8576) [1 per cell]  2 W 2.63-2.64, 1 Sb 2.73
Se (0.6751, 0.2714, 0.5509) [1 per cell]  3 W 2.58-2.85

---

Crystalline LiEuScAg at its relaxed geometry, computed with GGA-PBE.

Values from the calculation:
- formation energy from the elements (eV per atom) = -0.01
- crystal system = cubic
- DOS at the Fermi energy (states/eV/f.u.) = 6.52
- ρ (g/cm³) = 5.36
- E_tot (eV/cell) = -85.689

abc: 7.2846 7.2846 7.2846
angles: 90.00 90.00 90.00
With the nearest neighbours (Å) after each atom.
Space group F-43m (No. 216)
Symmetry-distinct sites (fractional):
Li (0.0000, 0.0000, 0.0000) [4 per cell]  4 Sc 3.15, 4 Eu 3.15
Eu (0.2500, 0.2500, 0.2500) [4 per cell]  4 Li 3.15, 4 Ag 3.15
Sc (0.2500, 0.2500, 0.7500) [4 per cell]  4 Li 3.15, 4 Ag 3.15
Ag (0.0000, 0.0000, 0.5000) [4 per cell]  4 Eu 3.15, 4 Sc 3.15

---

Crystalline ScAl2In2 at its relaxed geometry, computed with GGA-PBE.

Values from the calculation:
- distance to the lowest polymorph of the same formula (meV per atom) = 81
- formation energy from the elements (eV per atom) = 0.05
- crystal system = tetragonal
- DOS at the Fermi energy (states/eV/f.u.) = 2.99
- ρ (g/cm³) = 4.95
- E_tot (eV/cell) = -38.107

abc: 7.9571 7.9571 3.4830
angles: 90.00 90.00 90.00
With the nearest neighbours (Å) after each atom.
Space group P4/mbm (No. 127)
Symmetry-distinct sites (fractional):
Sc (0.0000, 0.0000, 0.0000) [2 per cell]  4 In 3.08, 8 Al 3.45
Al (0.1627, 0.3373, 0.5000) [4 per cell]  6 In 2.84-2.96
In (0.1378, 0.6378, 0.0000) [4 per cell]  6 Al 2.84-2.96, 2 Sc 3.08, 1 In 3.10

---

Q: E_tot of number 2 (ZrZn2In)?
A: -28.026 eV/cell

---

Q: Which of these has the highest E_tot?
A: ZrZn2In

---

Q: What is the formula in the twelfth record?
A: ScAl2In2

---

Q: Among the records above, which one has the highest DOS at the Fermi energy?
A: Tb10Sn3Bi3